No. 1
Compound: BaTaZn2Ni
Source: the Alexandria database
Functional: PBE
Structure: relaxed

Summary:
**Mass density**: 5.1 g/cm3
**Fermi-level density of states**: 1.57 states/eV/atom
**E_form**: 12.0 eV per formula unit

Unit cell a=5.4796 b=5.4796 c=5.4844 alpha=90.00 beta=90.00 gamma=90.00
Space group P4/mmm (No. 123)
Unique sites:
Ba (0.0000, 0.0000, 0.0000) x1
Ta (0.0000, 0.0000, 0.5000) x1
Zn (0.0000, 0.5000, 0.0000) x2
Ni (0.5000, 0.5000, 0.5000) x1

No. 2
Compound: MgCuBr2
Source: the Alexandria database
Functional: PBE
Structure: relaxed

Summary:
**Excess energy over the best structure of this formula in the dataset**: 129 meV/atom
**Mass density**: 3.1 g/cm3
**Fermi-level density of states**: 0.33 states/eV/atom

Unit cell a=3.5993 b=7.9878 c=9.1821 alpha=90.00 beta=90.00 gamma=90.00
Space group Imm2 (No. 44)
Unique sites:
Mg (0.0000, 0.0000, 0.0000) x2
Cu (0.0000, 0.5000, 0.7329) x2
Br (0.0000, 0.0000, 0.4061) x2
Br (0.0000, 0.5000, 0.3050) x2

No. 3
Compound: LiRe3
Source: the Alexandria database
Functional: PBE
Structure: relaxed

Summary:
**Excess energy over the best structure of this formula in the dataset**: 149 meV/atom
**Mass density**: 17.0 g/cm3
**Fermi-level density of states**: 0.74 states/eV/atom
**E_form**: 1.3 eV per formula unit

Unit cell a=3.1138 b=3.1138 c=5.7101 alpha=90.00 beta=90.00 gamma=90.00
Space group P4/mmm (No. 123)
Unique sites:
Li (0.0000, 0.0000, 0.0000) x1
Re (0.0000, 0.0000, 0.5000) x1
Re (0.5000, 0.5000, 0.2276) x2

No. 4
Compound: Y8Er2In
Source: the Alexandria database
Functional: PBE
Structure: relaxed

Summary:
**Excess energy over the best structure of this formula in the dataset**: 17 meV/atom
**Mass density**: 5.5 g/cm3
**Fermi-level density of states**: 1.55 states/eV/atom
**E_form**: 0.9 eV per formula unit

Unit cell a=15.0117 b=6.6397 c=7.3657 alpha=90.00 beta=107.01 gamma=90.00
Space group C2/m (No. 12)
Unique sites:
Y (0.0682, 0.2436, 0.3618) x8
Y (0.1080, 0.0000, 0.9622) x4
Y (0.2428, 0.5000, 0.2860) x4
Er (0.1639, 0.5000, 0.7689) x4
In (0.0000, 0.5000, 0.0000) x2

No. 5
Compound: AgHgAs3
Source: the Alexandria database
Functional: PBE
Structure: relaxed

Summary:
**Excess energy over the best structure of this formula in the dataset**: 0 meV/atom
**Mass density**: 6.9 g/cm3
**Fermi-level density of states**: 0.83 states/eV/atom
**E_form**: 4.4 eV per formula unit

Unit cell a=5.0553 b=5.0553 c=5.0553 alpha=90.00 beta=90.00 gamma=90.00
Space group Pm-3m (No. 221)
Unique sites:
Ag (0.0000, 0.0000, 0.0000) x1
Hg (0.5000, 0.5000, 0.5000) x1
As (0.0000, 0.0000, 0.5000) x3

No. 6
Compound: CsTl2Cu
Source: the Alexandria database
Functional: PBE
Structure: relaxed

Summary:
**Excess energy over the best structure of this formula in the dataset**: 331 meV/atom
**Mass density**: 7.6 g/cm3
**Fermi-level density of states**: 0.91 states/eV/atom
**E_form**: 1.7 eV per formula unit

Unit cell a=8.0955 b=8.0955 c=8.0955 alpha=90.00 beta=90.00 gamma=90.00
Space group Fm-3m (No. 225)
Unique sites:
Cs (0.0000, 0.0000, 0.0000) x4
Tl (0.2500, 0.2500, 0.2500) x8
Cu (0.0000, 0.0000, 0.5000) x4

No. 7
Compound: Ac5BiP6
Source: the Alexandria database
Functional: PBE
Structure: relaxed

Summary:
**Mass density**: 7.0 g/cm3
**E_form**: -14.1 eV per formula unit

Unit cell a=7.6337 b=13.2222 c=7.6277 alpha=90.00 beta=109.47 gamma=90.00
Space group C2/m (No. 12)
Unique sites:
Ac (0.0000, 0.0000, 0.0000) x2
Ac (0.0000, 0.1668, 0.5000) x4
Ac (0.0000, 0.3340, 0.0000) x4
Bi (0.0000, 0.5000, 0.5000) x2
P (0.2486, 0.3339, 0.7480) x8
P (0.2485, 0.5000, 0.2493) x4

No. 8
Compound: Ba2MgTl12
Source: the Alexandria database
Functional: PBE
Structure: relaxed

Summary:
**Mass density**: 9.1 g/cm3
**Fermi-level density of states**: 0.59 states/eV/atom
**E_form**: -1.6 eV per formula unit

Unit cell a=7.2946 b=7.2946 c=18.8906 alpha=90.00 beta=90.00 gamma=90.00
Space group P4/nbm (No. 125, origin choice 2)
Unique sites:
Ba (0.2500, 0.7500, 0.2394) x4
Mg (0.2500, 0.7500, 0.0000) x2
Tl (0.0016, 0.5016, 0.0872) x8
Tl (0.0865, 0.5865, 0.5685) x8
Tl (0.2500, 0.2500, 0.1861) x4
Tl (0.2500, 0.2500, 0.3450) x4

No. 9
Compound: In2CuTc
Source: the Alexandria database
Functional: PBE
Structure: relaxed

Summary:
**Excess energy over the best structure of this formula in the dataset**: 115 meV/atom
**Mass density**: 9.4 g/cm3
**Fermi-level density of states**: 0.50 states/eV/atom
**E_form**: 1.2 eV per formula unit

Unit cell a=6.5233 b=6.5233 c=6.5233 alpha=90.00 beta=90.00 gamma=90.00
Space group Fm-3m (No. 225)
Unique sites:
In (0.2500, 0.2500, 0.2500) x8
Cu (0.0000, 0.0000, 0.0000) x4
Tc (0.0000, 0.0000, 0.5000) x4

No. 10
Compound: La2SiH
Source: the Alexandria database
Functional: PBE
Structure: relaxed

Summary:
**Excess energy over the best structure of this formula in the dataset**: 57 meV/atom
**Mass density**: 5.6 g/cm3
**Fermi-level density of states**: 0.47 states/eV/atom

Unit cell a=7.1332 b=7.1332 c=7.1332 alpha=90.00 beta=90.00 gamma=90.00
Space group Fm-3m (No. 225)
Unique sites:
La (0.2500, 0.2500, 0.2500) x8
Si (0.0000, 0.0000, 0.0000) x4
H (0.0000, 0.0000, 0.5000) x4

No. 11
Compound: ZrTaCr2
Source: the Alexandria database
Functional: PBE
Structure: relaxed

Summary:
**Excess energy over the best structure of this formula in the dataset**: 105 meV/atom
**Mass density**: 9.6 g/cm3
**Fermi-level density of states**: 1.09 states/eV/atom
**E_form**: 1.0 eV per formula unit

Unit cell a=2.9918 b=3.7203 c=5.9941 alpha=90.00 beta=102.07 gamma=90.00
Space group Pm (No. 6)
Unique sites:
Zr (0.0000, 0.0000, 0.0000) x1
Ta (0.3636, 0.5000, 0.6817) x1
Cr (0.5495, 0.5000, 0.2719) x1
Cr (0.8701, 0.0000, 0.4502) x1

No. 12
Compound: HfNbVRh
Source: the Alexandria database
Functional: PBE
Structure: relaxed

Summary:
**Mass density**: 10.7 g/cm3
**Fermi-level density of states**: 0.94 states/eV/atom
**E_form**: -1.1 eV per formula unit

Unit cell a=6.4239 b=6.4239 c=6.4239 alpha=90.00 beta=90.00 gamma=90.00
Space group F-43m (No. 216)
Unique sites:
Hf (0.0000, 0.0000, 0.0000) x4
Nb (0.0000, 0.0000, 0.5000) x4
V (0.2500, 0.2500, 0.7500) x4
Rh (0.2500, 0.2500, 0.2500) x4

No. 13
Compound: TaTiNb2
Source: the Alexandria database
Functional: PBE
Structure: relaxed

Summary:
**Excess energy over the best structure of this formula in the dataset**: 2 meV/atom
**Mass density**: 9.6 g/cm3
**Fermi-level density of states**: 2.23 states/eV/atom
**E_form**: 0.1 eV per formula unit

Unit cell a=6.5916 b=6.5916 c=6.5916 alpha=90.00 beta=90.00 gamma=90.00
Space group Fm-3m (No. 225)
Unique sites:
Ta (0.0000, 0.0000, 0.0000) x4
Ti (0.0000, 0.0000, 0.5000) x4
Nb (0.2500, 0.2500, 0.2500) x8

No. 14
Compound: LuCuGe
Source: the Alexandria database
Functional: PBE
Structure: relaxed

Summary:
**Mass density**: 8.9 g/cm3
**Fermi-level density of states**: 0.73 states/eV/atom
**E_form**: -0.5 eV per formula unit

Unit cell a=3.7540 b=3.7540 c=8.2786 alpha=90.00 beta=90.00 gamma=90.00
Space group I4mm (No. 107)
Unique sites:
Lu (0.0000, 0.0000, 0.0000) x2
Cu (0.0000, 0.0000, 0.3415) x2
Ge (0.0000, 0.0000, 0.6627) x2

No. 15
Compound: TbAlTeO6
Source: the Alexandria database
Functional: PBE
Structure: relaxed

Summary:
**Mass density**: 6.1 g/cm3
**Fermi-level density of states**: 0.00 states/eV/atom
**Electronic total energy**: -6.951 eV/atom

Unit cell a=5.0747 b=5.0747 c=9.9250 alpha=90.00 beta=90.00 gamma=120.00
Space group P-31c (No. 163)
Unique sites:
Tb (0.0000, 0.0000, 0.0000) x2
Al (0.3333, 0.6667, 0.2500) x2
Te (0.3333, 0.6667, 0.7500) x2
O (0.0031, 0.3677, 0.1420) x12

No. 16
Compound: Cs2LiPrBr6
Source: the Alexandria database
Functional: PBE
Structure: relaxed

Summary:
**Excess energy over the best structure of this formula in the dataset**: 9 meV/atom
**Mass density**: 3.9 g/cm3
**Fermi-level density of states**: 0.00 states/eV/atom

Unit cell a=7.9834 b=7.9834 c=6.9724 alpha=90.00 beta=90.00 gamma=120.00
Space group P-3m1 (No. 164)
Unique sites:
Cs (0.3333, 0.6667, 0.2222) x2
Li (0.0000, 0.0000, 0.0000) x1
Pr (0.0000, 0.0000, 0.5000) x1
Br (0.1643, 0.3285, 0.7604) x6

No. 17
Compound: Pu2MoRh
Source: the Alexandria database
Functional: PBE
Structure: relaxed

Summary:
**Mass density**: 15.0 g/cm3
**Fermi-level density of states**: 2.37 states/eV/atom
**E_form**: 1.6 eV per formula unit

Unit cell a=2.8742 b=2.8742 c=31.7960 alpha=90.00 beta=90.00 gamma=120.00
Space group R-3m (No. 166, hexagonal axes)
Unique sites:
Pu (0.0000, 0.0000, 0.0884) x6
Mo (0.0000, 0.0000, 0.0000) x3
Rh (0.0000, 0.0000, 0.5000) x3

No. 18
Compound: LiTe
Source: the Alexandria database
Functional: PBE
Structure: relaxed

Summary:
**Excess energy over the best structure of this formula in the dataset**: 486 meV/atom
**Mass density**: 4.2 g/cm3
**Fermi-level density of states**: 0.82 states/eV/atom

Unit cell a=3.3116 b=3.3116 c=33.9623 alpha=90.00 beta=90.00 gamma=120.00
Space group R-3m (No. 166, hexagonal axes)
Unique sites:
Li (0.0000, 0.0000, 0.1252) x6
Te (0.0000, 0.0000, 0.3970) x6

No. 19
Compound: EuGdGaPd
Source: the Alexandria database
Functional: PBE
Structure: relaxed

Summary:
**Mass density**: 8.4 g/cm3
**Fermi-level density of states**: 1.67 states/eV/atom
**E_form**: -2.3 eV per formula unit

Unit cell a=7.2676 b=7.2676 c=7.2676 alpha=90.00 beta=90.00 gamma=90.00
Space group F-43m (No. 216)
Unique sites:
Eu (0.0000, 0.0000, 0.0000) x4
Gd (0.0000, 0.0000, 0.5000) x4
Ga (0.2500, 0.2500, 0.2500) x4
Pd (0.2500, 0.2500, 0.7500) x4

No. 20
Compound: NdBe3Au6
Source: the Alexandria database
Functional: PBE
Structure: relaxed

Summary:
**Mass density**: 12.9 g/cm3
**Fermi-level density of states**: 0.34 states/eV/atom
**E_form**: -2.9 eV per formula unit

Unit cell a=5.7149 b=5.7149 c=18.4652 alpha=90.00 beta=90.00 gamma=120.00
Space group R3 (No. 146, hexagonal axes)
Unique sites:
Nd (0.0000, 0.0000, 0.0000) x3
Be (0.0000, 0.0000, 0.3094) x3
Be (0.0000, 0.0000, 0.6448) x3
Be (0.0000, 0.0000, 0.8406) x3
Au (0.0007, 0.4103, 0.8853) x9
Au (0.0023, 0.5025, 0.0763) x9

No. 21
Compound: ScAsPBr2
Source: the Alexandria database
Functional: PBE
Structure: relaxed

Summary:
**Excess energy over the best structure of this formula in the dataset**: 249 meV/atom
**Mass density**: 4.0 g/cm3
**Fermi-level density of states**: 0.52 states/eV/atom

Unit cell a=4.9175 b=4.9175 c=5.3545 alpha=90.00 beta=90.00 gamma=90.00
Space group P4/mmm (No. 123)
Unique sites:
Sc (0.0000, 0.0000, 0.0000) x1
As (0.5000, 0.5000, 0.0000) x1
P (0.0000, 0.0000, 0.5000) x1
Br (0.0000, 0.5000, 0.5000) x2

No. 22
Compound: Zn2CrIr
Source: the Alexandria database
Functional: PBE
Structure: relaxed

Summary:
**Excess energy over the best structure of this formula in the dataset**: 257 meV/atom
**Mass density**: 11.3 g/cm3
**Fermi-level density of states**: 0.85 states/eV/atom
**E_form**: 0.7 eV per formula unit

Unit cell a=2.8907 b=4.4373 c=8.6179 alpha=90.00 beta=90.00 gamma=90.00
Space group Cmmm (No. 65)
Unique sites:
Zn (0.0000, 0.0000, 0.2460) x4
Cr (0.0000, 0.5000, 0.0000) x2
Ir (0.0000, 0.5000, 0.5000) x2

No. 23
Compound: PrCuO3
Source: the Alexandria database
Functional: PBE
Structure: relaxed

Summary:
**Mass density**: 5.5 g/cm3
**Fermi-level density of states**: 0.62 states/eV/atom
**Electronic total energy**: -6.437 eV/atom

Unit cell a=3.6005 b=6.1415 c=7.0738 alpha=90.00 beta=104.50 gamma=90.00
Space group P2_1/m (No. 11)
Unique sites:
Pr (0.1695, 0.2500, 0.3364) x2
Cu (0.4163, 0.2500, 0.8321) x2
O (0.3203, 0.0398, 0.6440) x4
O (0.4528, 0.7500, 0.9124) x2

No. 24
Compound: Tb2Y5Sb4
Source: the Alexandria database
Functional: PBE
Structure: relaxed

Summary:
**Mass density**: 5.7 g/cm3
**Fermi-level density of states**: 1.07 states/eV/atom
**Electronic total energy**: -5.782 eV/atom

Unit cell a=25.5721 b=4.0335 c=7.0053 alpha=90.00 beta=92.10 gamma=90.00
Space group C2/m (No. 12)
Unique sites:
Tb (0.2359, 0.0000, 0.2730) x4
Y (0.0000, 0.5000, 0.5000) x2
Y (0.0921, 0.0000, 0.1969) x4
Y (0.1419, 0.0000, 0.6922) x4
Sb (0.0296, 0.0000, 0.8066) x4
Sb (0.1714, 0.5000, 0.0145) x4

No. 25
Compound: Fe2NiI8
Source: the Alexandria database
Functional: PBE
Structure: relaxed

Summary:
**Mass density**: 4.1 g/cm3
**Fermi-level density of states**: 0.23 states/eV/atom
**Electronic total energy**: -3.300 eV/atom

Unit cell a=13.5664 b=10.3987 c=6.7945 alpha=90.00 beta=93.09 gamma=90.00
Space group C2/m (No. 12)
Unique sites:
Fe (0.1803, 0.0000, 0.1242) x4
Ni (0.0000, 0.0000, 0.5000) x2
I (0.0884, 0.1875, 0.2822) x8
I (0.1378, 0.5000, 0.7986) x4
I (0.1634, 0.0000, 0.7464) x4